This record from the Alexandria database describes CaPrPb2 after structural relaxation. The functional is PBE.

Cell lengths 4.5195, 5.2147, 5.2147 Å; angles 90.00, 90.00, 90.00 degrees
Sites, in units of the cell vectors:
Pb: 0.0000 0.0000 0.5000
Pr: 0.5000 0.5000 0.5000
Pb: 0.0000 0.5000 0.0000
Ca: 0.5000 0.0000 0.0000

Summary:
- VASP energy (eV per atom) = -4.06
- size of the total moment (μB per formula unit) = 0.00